# 1
Below is a geometry-optimized CeMgTc structure, with properties calculated at the PBE-GGA level.

The structure belongs to space group I4mm (No. 107); the cell edges are 3.336, 3.336 and 11.831 Å and the angles 90.00°, 90.00° and 90.00°. The distinct sites, in fractional coordinates, are Ce at (0.000, 0.000, 0.000), Mg at (0.000, 0.000, 0.732) and Tc at (0.000, 0.000, 0.371).

Its density of states at the Fermi level is 1.394 states/eV/atom. Its formation energy is 92.8 meV/atom. The uncorrected energy is -5.87 eV per atom.

# 2
Below is a geometry-optimized CeMgTc structure, with properties calculated at the PBE-GGA level.

The structure belongs to space group P-1 (No. 2); the cell edges are 3.613, 5.169 and 7.683 Å and the angles 92.04°, 103.47° and 110.39°. The distinct sites, in fractional coordinates, are Ce at (0.248, 0.340, 0.155), Mg at (0.116, 0.781, 0.449) and Tc at (0.498, 0.168, 0.833).

Its density of states at the Fermi level is 0.939 states/eV/atom. Its formation energy is -40.5 meV/atom. The uncorrected energy is -6.01 eV per atom.

# 3
Below is a geometry-optimized CeThMgTc structure, with properties calculated at the PBE-GGA level.

The structure belongs to space group F-43m (No. 216); the cell edges are 7.271, 7.271 and 7.271 Å and the angles 90.00°, 90.00° and 90.00°. The distinct sites, in fractional coordinates, are Ce at (0.000, 0.000, 0.000), Th at (0.000, 0.000, 0.500), Mg at (0.250, 0.250, 0.250) and Tc at (0.250, 0.250, 0.750).

Its density of states at the Fermi level is 1.285 states/eV/atom. Its formation energy is 76.8 meV/atom. The uncorrected energy is -6.25 eV per atom.

# 4
Below is a geometry-optimized CeMgZnTc structure, with properties calculated at the PBE-GGA level.

The structure belongs to space group F-43m (No. 216); the cell edges are 6.754, 6.754 and 6.754 Å and the angles 90.00°, 90.00° and 90.00°. The distinct sites, in fractional coordinates, are Ce at (0.000, 0.000, 0.000), Mg at (0.000, 0.000, 0.500), Zn at (0.250, 0.250, 0.250) and Tc at (0.250, 0.250, 0.750).

Its density of states at the Fermi level is 1.204 states/eV/atom. Its formation energy is 67.7 meV/atom. The uncorrected energy is -4.72 eV per atom.

# 5
Below is a geometry-optimized Ce2MgTe structure, with properties calculated at the PBE-GGA level.

The structure belongs to space group P4/mmm (No. 123); the cell edges are 4.013, 4.013 and 7.067 Å and the angles 90.00°, 90.00° and 90.00°. The distinct sites, in fractional coordinates, are Ce at (0.000, 0.000, 0.241), Mg at (0.500, 0.500, 0.500) and Te at (0.500, 0.500, 0.000).

Its density of states at the Fermi level is 3.686 states/eV/atom. The uncorrected energy is -4.67 eV per atom. The raw formation energy comes out at -0.5146 eV per atom.

# 6
Below is a geometry-optimized Ce4MgTe5 structure, with properties calculated at the PBE-GGA level.

The structure belongs to space group I4 (No. 79); the cell edges are 9.941, 9.941 and 6.324 Å and the angles 90.00°, 90.00° and 90.00°. The distinct sites, in fractional coordinates, are Ce at (0.093, 0.692, 0.000), Mg at (0.000, 0.000, 0.539), Te at (0.000, 0.000, 0.011) and Te at (0.099, 0.718, 0.499).

Its density of states at the Fermi level is 2.969 states/eV/atom. The uncorrected energy is -5.30 eV per atom. The raw formation energy comes out at -1.2011 eV per atom.

# 7
Below is a geometry-optimized CeMgTe2 structure, with properties calculated at the PBE-GGA level.

The structure belongs to space group P3_221 (No. 154); the cell edges are 4.4392, 4.4392 and 27.8926 Å and the angles 90.00°, 90.00° and 120.00°. The distinct sites, in fractional coordinates, are Ce at (0.0000, 0.3287, 0.3333), Mg at (0.0000, 0.3309, 0.8333) and Te at (0.0048, 0.3381, 0.9340).

Its density of states at the Fermi level is 2.004 states/eV/atom. The uncorrected energy is -4.20 eV per atom. The raw formation energy comes out at -0.7440 eV per atom.

# 8
Below is a geometry-optimized Ce5MgTe8 structure, with properties calculated at the PBE-GGA level.

The structure belongs to space group I-4 (No. 82); the cell edges are 9.412, 9.412 and 9.718 Å and the angles 90.00°, 90.00° and 90.00°. The distinct sites, in fractional coordinates, are Ce at (0.000, 0.000, 0.000), Ce at (0.123, 0.749, 0.618), Mg at (0.000, 0.500, 0.250), Te at (0.067, 0.812, 0.292) and Te at (0.080, 0.679, 0.940).

Its density of states at the Fermi level is 2.464 states/eV/atom. The uncorrected energy is -5.30 eV per atom. The raw formation energy comes out at -1.2724 eV per atom.

# 9
Below is a geometry-optimized CeMgTe2 structure, with properties calculated at the PBE-GGA level.

The structure belongs to space group R-3m (No. 166, hexagonal axes); the cell edges are 4.2367, 4.2367 and 22.8049 Å and the angles 90.00°, 90.00° and 120.00°. The distinct sites, in fractional coordinates, are Ce at (0.0000, 0.0000, 0.0000), Mg at (0.0000, 0.0000, 0.5000) and Te at (0.0000, 0.0000, 0.2410).

Its density of states at the Fermi level is 1.734 states/eV/atom. The uncorrected energy is -4.46 eV per atom. The raw formation energy comes out at -1.0098 eV per atom.

# 10
Below is a geometry-optimized Ce2MgTe structure, with properties calculated at the PBE-GGA level.

The structure belongs to space group R-3m (No. 166, hexagonal axes); the cell edges are 3.8012, 3.8012 and 33.8280 Å and the angles 90.00°, 90.00° and 120.00°. The distinct sites, in fractional coordinates, are Ce at (0.0000, 0.0000, 0.1016), Mg at (0.0000, 0.0000, 0.0000) and Te at (0.0000, 0.0000, 0.5000).

Its density of states at the Fermi level is 3.029 states/eV/atom. The uncorrected energy is -4.28 eV per atom. The raw formation energy comes out at -0.1286 eV per atom.

# 11
Below is a geometry-optimized Ce6MgTe8 structure, with properties calculated at the PBE-GGA level.

The structure belongs to space group R-3 (No. 148, hexagonal axes); the cell edges are 9.4011, 9.4011 and 19.0024 Å and the angles 90.00°, 90.00° and 120.00°. The distinct sites, in fractional coordinates, are Ce at (0.0029, 0.6157, 0.4237), Mg at (0.0000, 0.0000, 0.5000), Te at (0.0000, 0.0000, 0.1673) and Te at (0.0056, 0.7385, 0.5904).

Its density of states at the Fermi level is 2.933 states/eV/atom. The uncorrected energy is -5.39 eV per atom. The raw formation energy comes out at -1.2309 eV per atom.

# 12
Below is a geometry-optimized CeTh2Mg structure, with properties calculated at the PBE-GGA level.

The structure belongs to space group P4/mmm (No. 123); the cell edges are 3.425, 3.425 and 10.049 Å and the angles 90.00°, 90.00° and 90.00°. The distinct sites, in fractional coordinates, are Ce at (0.000, 0.000, 0.000), Th at (0.500, 0.500, 0.254) and Mg at (0.000, 0.000, 0.500).

Its density of states at the Fermi level is 1.675 states/eV/atom. Its formation energy is 91.0 meV/atom. The uncorrected energy is -5.50 eV per atom.

# 13
Below is a geometry-optimized Ce2ThMg structure, with properties calculated at the PBE-GGA level.

The structure belongs to space group R3m (No. 160, hexagonal axes); the cell edges are 3.3649, 3.3649 and 34.7311 Å and the angles 90.00°, 90.00° and 120.00°. The distinct sites, in fractional coordinates, are Ce at (0.0000, 0.0000, 0.0000), Ce at (0.0000, 0.0000, 0.1683), Th at (0.0000, 0.0000, 0.7510) and Mg at (0.0000, 0.0000, 0.5842).

Its density of states at the Fermi level is 2.343 states/eV/atom. Its formation energy is 97.7 meV/atom. The uncorrected energy is -5.12 eV per atom.

# 14
Below is a geometry-optimized CeThMg2 structure, with properties calculated at the PBE-GGA level.

The structure belongs to space group P4/mmm (No. 123); the cell edges are 3.807, 3.807 and 7.765 Å and the angles 90.00°, 90.00° and 90.00°. The distinct sites, in fractional coordinates, are Ce at (0.000, 0.000, 0.000), Th at (0.000, 0.000, 0.500) and Mg at (0.500, 0.500, 0.247).

Its density of states at the Fermi level is 2.032 states/eV/atom. Its formation energy is 86.7 meV/atom. The uncorrected energy is -4.05 eV per atom.